AlPtCl2, optimized geometry, DFT GGA-PBE; offset from the most stable computed form = 325 meV per atom; total DFT energy (no corrections) = -15.058 eV per formula unit
1.0
3.121 0.000 0.000
0.000 4.297 0.000
0.000 0.000 13.944
Al Pt Cl
2 2 4
direct
0.000 0.000 0.000
0.500 0.500 0.500
0.000 0.000 0.500
0.500 0.500 0.000
0.000 0.500 0.365
0.000 0.500 0.635
0.500 0.000 0.135
0.500 0.000 0.865